Entry 1:
First-principles (PBE) data for a relaxed structure of Er3Ga, as listed in Alexandria.

```
4
Lattice="-3.293 2.939 -1.555 -3.265 -2.444 2.295 0.630 2.700 3.770" Properties=species:S:1:pos:R:3 pbc="T T T"
Er -3.279 0.248 0.370
Er -1.318 0.128 3.033
Er -1.332 2.820 1.108
Ga 0.000 0.000 0.000
```

**Fermi-level density of states**: 6.05 states/eV/f.u.
**E_form**: -0.96 eV per formula unit
**Final energy**: -4.420 eV/atom
**Crystal system**: cubic

=====

Entry 2:
First-principles (PBE) data for a relaxed structure of PrScReO6, as listed in Alexandria.

```
9
Lattice="5.332 0.000 0.000 2.666 4.618 0.001 -0.001 -0.002 5.118" Properties=species:S:1:pos:R:3 pbc="T T T"
Pr 5.332 0.000 0.000
O 1.061 1.616 1.468
O 1.797 2.889 3.651
O 3.400 0.111 1.467
O 3.535 2.889 1.468
O 4.270 1.616 3.651
O 1.930 0.110 3.651
Sc 5.332 3.078 2.560
Re 2.666 1.538 2.559
```

**Fermi-level density of states**: 4.59 states/eV/f.u.
**Final energy**: -8.525 eV/atom
**Crystal system**: trigonal
**Uncorrected formation energy**: -23.4 eV per formula unit

=====

Entry 3:
First-principles (PBE) data for a relaxed structure of SrTe2Au, as listed in Alexandria.

```
4
Lattice="5.461 0.000 0.000 2.731 4.729 0.000 2.731 1.576 4.459" Properties=species:S:1:pos:R:3 pbc="T T T"
Te 0.000 0.000 0.000
Te 2.731 1.576 1.115
Sr 8.192 4.729 3.344
Au 5.461 3.153 2.230
```

**Fermi-level density of states**: 2.79 states/eV/f.u.
**Final energy**: -3.239 eV/atom
**Crystal system**: cubic
**Uncorrected formation energy**: -1.7 eV per formula unit

=====

Entry 4:
First-principles (PBE) data for a relaxed structure of La2SmF8, as listed in Alexandria.

```
11
Lattice="3.996 0.000 0.000 0.000 5.779 -0.067 -1.998 -2.557 6.989" Properties=species:S:1:pos:R:3 pbc="T T T"
La 0.000 3.022 2.362
La 1.998 0.201 4.560
F 1.998 2.022 1.243
F 0.000 -1.490 4.688
F 1.998 2.517 3.855
F 0.000 0.705 3.067
F 0.000 1.201 5.679
F 1.998 4.712 2.234
F 0.000 4.455 0.374
F 1.998 -1.232 6.548
Sm 1.998 0.000 0.000
```

**Fermi-level density of states**: 6.99 states/eV/f.u.
**Final energy**: -6.598 eV/atom
**Crystal system**: monoclinic
**Uncorrected formation energy**: -43.0 eV per formula unit

=====

Entry 5:
First-principles (PBE) data for a relaxed structure of H2Ir2Pt, as listed in Alexandria.

```
10
Lattice="5.249 0.000 0.000 0.000 5.249 0.000 0.000 0.000 3.928" Properties=species:S:1:pos:R:3 pbc="T T T"
H 1.698 0.927 0.000
H 4.322 1.698 0.000
H 3.551 4.322 0.000
H 0.927 3.551 0.000
Pt 0.000 0.000 0.000
Pt 2.625 2.625 0.000
Ir 3.616 4.258 1.964
Ir 0.991 3.616 1.964
Ir 4.258 1.633 1.964
Ir 1.633 0.991 1.964
```

**Fermi-level density of states**: 2.94 states/eV/f.u.
**Final energy**: -5.902 eV/atom
**Crystal system**: tetragonal

=====

Entry 6:
First-principles (PBE) data for a relaxed structure of MgZnGaTc, as listed in Alexandria.

```
4
Lattice="-3.121 -2.589 1.762 -1.284 -3.666 -2.113 1.076 -3.974 1.614" Properties=species:S:1:pos:R:3 pbc="T T T"
Zn -2.497 -7.672 0.948
Mg -1.665 -5.114 0.632
Tc 0.000 0.000 0.000
Ga -0.832 -2.557 0.316
```

**Fermi-level density of states**: 1.95 states/eV/f.u.
**E_form**: 0.08 eV per formula unit
**Final energy**: -4.046 eV/atom
**Crystal system**: cubic

=====

Entry 7:
First-principles (PBE) data for a relaxed structure of AcSmSn, as listed in Alexandria.

```
3
Lattice="4.272 0.000 0.000 0.000 4.272 0.000 -2.136 -2.136 5.340" Properties=species:S:1:pos:R:3 pbc="T T T"
Sm 0.000 0.000 0.210
Sn 2.136 2.136 1.658
Ac 0.000 0.000 3.473
```

**Fermi-level density of states**: 3.52 states/eV/f.u.
**E_form**: -1.26 eV per formula unit
**Final energy**: -4.696 eV/atom
**Crystal system**: tetragonal

=====

Entry 8:
First-principles (PBE) data for a relaxed structure of AcMgIn11, as listed in Alexandria.

```
13
Lattice="5.890 -0.068 2.454 2.830 7.363 1.179 0.016 -0.034 8.258" Properties=species:S:1:pos:R:3 pbc="T T T"
Mg 4.360 3.648 1.816
In 5.135 5.747 3.866
In 1.875 4.712 3.665
In 3.601 1.514 8.025
In 2.359 1.548 2.709
In 6.860 2.549 8.226
In 6.376 5.713 9.181
In 4.797 2.583 4.883
In 3.938 4.678 7.008
In 1.415 3.682 0.590
In 2.953 -0.051 5.356
In 0.008 -0.017 4.129
Ac 0.000 0.000 0.000
```

**Fermi-level density of states**: 6.01 states/eV/f.u.
**E_form**: -1.01 eV per formula unit
**Final energy**: -2.833 eV/atom
**Crystal system**: monoclinic